This record from Alexandria describes crystalline Li2OsPt at its relaxed geometry. The functional is PBE.

abc: 2.6909 2.6909 26.5232
angles: 90.00 90.00 120.00
Space group R-3m (No. 166, hexagonal axes)
Symmetry-distinct sites (fractional):
1 Li 0.0000 0.0000 0.2477 [6 per cell]
2 Os 0.0000 0.0000 0.0000 [3 per cell]
3 Pt 0.0000 0.0000 0.5000 [3 per cell]

DFT formation energy   -245 meV/atom